Entry 1:
Compound: MnAlW
Source: the Alexandria database
Functional: meta-GGA SCAN
Structure: PBEsol geometry

Cell: 2.953 2.953 9.146 Å, 90.00 90.00 90.00°
Space group I4mm (No. 107)
Symmetry-distinct sites (fractional):
Mn1 0.000 0.000 0.000 x2
Al1 0.000 0.000 0.338 x2
W1 0.000 0.000 0.647 x2

## Properties
* final energy: -32.05 eV per atom
* energy relative to the elements: -0.1534 eV per atom

Entry 2:
Compound: YMn3Al
Source: the Alexandria database
Functional: meta-GGA SCAN
Structure: PBEsol geometry

Cell: 4.507 4.507 4.507 Å, 90.00 90.00 90.00°
Space group Pm-3m (No. 221)
Symmetry-distinct sites (fractional):
Y1 0.000 0.000 0.000 x1
Mn1 0.000 0.500 0.500 x3
Al1 0.500 0.500 0.500 x1

## Properties
* final energy: -17.78 eV per atom
* energy relative to the elements: 0.2872 eV per atom

Entry 3:
Compound: YMnAl3
Source: the Alexandria database
Functional: meta-GGA SCAN
Structure: PBEsol geometry

Cell: 5.307 5.307 5.307 Å, 90.00 90.00 90.00°
Space group Pm-3m (No. 221)
Symmetry-distinct sites (fractional):
Y1 0.000 0.000 0.000 x1
Mn1 0.500 0.500 0.500 x1
Al1 0.000 0.000 0.500 x3

## Properties
* final energy: -12.54 eV per atom
* energy relative to the elements: 1.3258 eV per atom